Entry from Alexandria: a geometry-optimized CsCr2HgO8 structure (PBE+U).

Cell: 5.3924 5.3924 9.3173 Å, 73.18 73.18 60.00°
Last column: nearest neighbours and their distance in Å.
Positions (direct):
Cs 0.5000 0.5000 0.5000  12 O 3.23-3.61
Cr 0.2618 0.2618 0.2147  4 O 1.64-1.68
Cr 0.7382 0.7382 0.7853  4 O 1.64-1.68
Hg 0.0000 0.0000 0.0000  6 O 2.30
O 0.1997 0.1997 0.4010  1 Cr 1.64
O 0.5840 0.2690 0.1549  1 Cr 1.68
O 0.8003 0.8003 0.5990  1 Cr 1.64
O 0.9922 0.5840 0.1549  1 Cr 1.68
O 0.0078 0.4160 0.8451  1 Cr 1.68
O 0.2690 0.9922 0.1549  1 Cr 1.68
O 0.7310 0.0078 0.8451  1 Cr 1.68
O 0.4160 0.7310 0.8451  1 Cr 1.68

Output
DFT total energy in eV/f.u.: -68.31
Spin magnetization in μB/f.u.: 1.1
Volume in Å³/cell: 221
DOS at the Fermi energy in states/eV/atom: 0.52